Here is crystalline Pm2AlIn at its relaxed geometry from the Alexandria database. Energies are from PBE.

Its calculated density is 6.6 g/cm³. The value obtained for the formation energy is -9.648 kcal/mol of atoms. For the total magnetization, the calculation gives 0.0000 μB per atom. The calculated volume is 432.1 Å³ per cell.

The space group is Fm-3m (No. 225) and the conventional cell measures 7.560, 7.560 and 7.560 Å, with angles of 90.00, 90.00 and 90.00 degrees. Symmetry generates all atoms from Pm at (0.250, 0.250, 0.250), Al at (0.000, 0.000, 0.000) and In at (0.000, 0.000, 0.500).